Here is a relaxed structure of Ce7In3Ge from Alexandria. Energies are from PBE. Values from VASP.

Summary:
* volume: 312.4 Å³/f.u.
* energy: -5.16 eV per atom

Geometry as Quantum ESPRESSO input:
```
&SYSTEM
  ibrav = 0, nat = 11, ntyp = 3
/
ATOMIC_SPECIES
Ce 140.12 Ce.upf
In 114.82 In.upf
Ge 72.64 Ge.upf
CELL_PARAMETERS angstrom
5.6252 -0.2896 -0.3709
-2.7735 7.5876 0.7618
-2.7735 -1.1004 7.5459
ATOMIC_POSITIONS angstrom
Ce 0.2272 2.0718 7.0240
Ce 0.2272 6.3122 3.7129
Ce -2.7735 3.2436 4.1539
Ce -0.1490 -0.1147 4.2240
In 2.8126 -0.1448 -0.1855
Ce -0.1490 4.1257 0.9128
In -2.7735 0.7990 6.0628
Ge 0.0391 3.0988 3.9684
Ce 0.0494 1.2922 1.6549
Ce 0.0288 4.9053 6.2819
In -2.7735 5.6882 2.2449
```